This record from Alexandria describes Ac2Y2Ho after structural relaxation. The functional is PBE.

abc: 8.993 8.993 8.993
angles: 148.37 148.37 45.34
Positions (direct):
Ac (0.250, 0.750, 0.500)
Ac (0.750, 0.250, 0.500)
Y (0.092, 0.092, 0.000)
Y (0.908, 0.908, 0.000)
Ho (0.500, 0.500, 0.000)

Results
- D(E_F): 9.5 states/eV/f.u.
- Distance to the lowest polymorph of the same formula: 0.445 eV per atom